# Li6NCl2O

A relaxed structure of Li6NCl2O (GGA-PBE, Alexandria).

Output
The space-group type is C2/m. For the total magnetization, the calculation gives 1.00 μB/cell. As for the uncorrected formation energy: -1.227 eV/atom.

Cell: 5.7907 5.4572 5.6113 Å, 119.10 121.04 90.00°
Last column: nearest neighbours and their distance in Å.
Atoms (fractional coordinates):
O  0.5000  0.0000  0.0000  6 Li 1.95-1.96
Li  0.7706  0.2840  0.0676  1 O 1.95, 1 N 2.06
Li  0.6841  0.2442  0.4884  1 O 1.96, 1 N 2.05
Li  0.7706  0.7836  0.0676  1 O 1.95, 1 N 2.06
Li  0.2294  0.7160  0.9324  1 O 1.95, 1 N 2.06
Li  0.2294  0.2164  0.9324  1 O 1.95, 1 N 2.06
Li  0.3159  0.7558  0.5116  1 O 1.96, 1 N 2.05
N  0.0000  0.5000  0.0000  6 Li 2.05-2.06
Cl  0.2369  0.2387  0.4773  7 Li 2.56-2.76
Cl  0.7631  0.7613  0.5227  7 Li 2.56-2.76



# LiPtN2Cl

A relaxed structure of LiPtN2Cl (GGA-PBE, Alexandria).

Output
The space-group type is P4/mmm. For the total magnetization, the calculation gives 0.00 μB/cell. As for the uncorrected formation energy: 1.860 eV/atom. For the density of states at the Fermi level, the calculation gives 2.53 states/eV per cell.

Cell: 4.0434 3.9140 4.0434 Å, 90.00 90.00 90.00°
Last column: nearest neighbours and their distance in Å.
Atoms (fractional coordinates):
Pt  0.5000  0.5000  0.5000  8 N 2.81, 4 Li 2.86
Li  0.0000  0.5000  0.0000  2 Cl 1.96
N  0.5000  0.0000  0.0000  2 Cl 2.02
N  0.0000  0.0000  0.5000  2 Cl 2.02
Cl  0.0000  0.0000  0.0000  2 Li 1.96, 4 N 2.02



# RbLi2NCl

A relaxed structure of RbLi2NCl (GGA-PBE, Alexandria).

Output
The space-group type is P4/mmm. For the total magnetization, the calculation gives 0.00 μB/cell. As for the uncorrected formation energy: 0.804 eV/atom. For the density of states at the Fermi level, the calculation gives 0.95 states/eV per cell.

Cell: 5.8437 4.2837 5.8437 Å, 90.00 90.00 90.00°
Last column: nearest neighbours and their distance in Å.
Atoms (fractional coordinates):
N  0.0000  0.5000  0.0000  2 Rb 2.14
Rb  0.0000  0.0000  0.0000  2 N 2.14
Li  0.0000  0.0000  0.5000  2 Rb 2.92
Li  0.5000  0.0000  0.0000  2 Rb 2.92
Cl  0.5000  0.5000  0.5000  8 Li 3.62



# Rb2LiNCl6

A relaxed structure of Rb2LiNCl6 (GGA-PBE, Alexandria).

Output
The space-group type is I4/mmm. For the total magnetization, the calculation gives 0.00 μB/cell. As for the uncorrected formation energy: -0.656 eV/atom. For the density of states at the Fermi level, the calculation gives 0.00 states/eV per cell.

Cell: 7.1810 7.1810 6.8160 Å, 58.21 58.21 90.00°
Last column: nearest neighbours and their distance in Å.
Atoms (fractional coordinates):
Cl  0.2436  0.2436  0.5128  1 N 2.22, 1 Li 2.33
Cl  0.7564  0.7564  0.4872  1 N 2.22, 1 Li 2.33
Cl  0.2251  0.2251  0.0000  1 N 2.29
Cl  0.2251  0.7749  0.0000  1 N 2.29
Cl  0.7749  0.7749  0.0000  1 N 2.29
Cl  0.7749  0.2251  0.0000  1 N 2.29
Rb  0.7500  0.2500  0.5000  12 Cl 3.42-3.59
Rb  0.2500  0.7500  0.5000  12 Cl 3.42-3.59
N  0.0000  0.0000  0.0000  6 Cl 2.22-2.29
Li  0.5000  0.5000  0.0000  2 Cl 2.33